Record 1
{"formula": "ZnSi2Hg", "functional": "PBE", "state": "optimized geometry", "lattice_angstrom": [[2.6992, 0.0000, 0.0000], [0.0000, 3.8970, 0.0000], [0.0000, 0.0000, 7.4331]], "species": ["Hg", "Si", "Si", "Zn"], "fractional_positions": [[0.5000, 0.5000, 0.7500], [0.0000, 0.0000, 0.0723], [0.0000, 0.0000, 0.4277], [0.5000, 0.5000, 0.2500]], "polymorph_energy_ev_per_atom": 0.1899, "raw_formation_energy_ev_per_atom": 0.44}

Record 2
{"formula": "ZnSi2Hg", "functional": "PBE", "state": "optimized geometry", "lattice_angstrom": [[-0.7531, 4.7999, -0.6151], [-4.2873, 0.0884, -2.3655], [1.0388, -2.3319, 4.1794]], "species": ["Hg", "Si", "Si", "Zn"], "fractional_positions": [[0.7500, 0.2500, 0.5000], [0.0000, 0.0000, 0.0000], [0.2500, 0.7500, 0.5000], [0.5000, 0.5000, 0.0000]], "polymorph_energy_ev_per_atom": 0.2625, "raw_formation_energy_ev_per_atom": 0.51}

Record 3
{"formula": "Zn2SiHg", "functional": "PBE", "state": "optimized geometry", "lattice_angstrom": [[-1.9997, 3.2876, -1.1415], [-1.4093, -2.0426, -3.4141], [-3.3773, -1.3001, 2.1720]], "species": ["Hg", "Si", "Zn", "Zn"], "fractional_positions": [[0.5000, 0.5000, 0.0000], [0.5000, 0.0000, 0.5000], [0.0000, 0.0000, 0.0000], [0.0000, 0.5000, 0.5000]], "polymorph_energy_ev_per_atom": 0.0970, "raw_formation_energy_ev_per_atom": 0.32}

Record 4
{"formula": "ZnSi2Hg", "functional": "PBE", "state": "optimized geometry", "lattice_angstrom": [[3.8106, 0.0000, 0.0000], [0.0000, 3.8466, 0.0000], [0.0000, 0.0000, 4.9683]], "species": ["Hg", "Si", "Si", "Zn"], "fractional_positions": [[0.0000, 0.5000, 0.5000], [0.0000, 0.0000, 0.0000], [0.5000, 0.5000, 0.0000], [0.5000, 0.0000, 0.5000]], "polymorph_energy_ev_per_atom": 0.2223, "raw_formation_energy_ev_per_atom": 0.47}

Record 5
{"formula": "ZnSiHg4", "functional": "PBE", "state": "optimized geometry", "lattice_angstrom": [[4.6663, -3.4094, -1.3702], [-0.8404, -5.3036, -2.5379], [1.4952, -0.8416, -5.6861]], "species": ["Zn", "Si", "Hg", "Hg", "Hg", "Hg"], "fractional_positions": [[0.0000, 0.0000, 0.0000], [0.7500, 0.7500, 0.7500], [0.3750, 0.8749, 0.3750], [0.8749, 0.3750, 0.3750], [0.3750, 0.3750, 0.8749], [0.3750, 0.3750, 0.3750]], "raw_formation_energy_ev_per_atom": 0.53}

Record 6
{"formula": "ZnSi2Hg", "functional": "PBE", "state": "optimized geometry", "lattice_angstrom": [[-0.9845, 0.6379, -2.4851], [-2.1874, -1.5997, 0.4560], [-4.9309, 7.8757, 3.9749]], "species": ["Hg", "Si", "Si", "Zn"], "fractional_positions": [[0.5000, 0.5000, 0.7500], [0.0000, 0.0000, 0.0483], [0.0000, 0.0000, 0.4517], [0.5000, 0.5000, 0.2500]], "polymorph_energy_ev_per_atom": 0.1857, "raw_formation_energy_ev_per_atom": 0.44}

Record 7
{"formula": "Zn2SiHg", "functional": "PBE", "state": "optimized geometry", "lattice_angstrom": [[-2.5925, 2.2029, -1.2879], [-1.8433, -2.0136, 0.2662], [-2.9925, 0.5701, 6.9992]], "species": ["Hg", "Si", "Zn", "Zn"], "fractional_positions": [[0.5000, 0.2500, 0.2500], [0.5000, 0.7500, 0.7500], [0.0000, 0.0459, 0.9601], [0.0000, 0.4541, 0.5399]], "polymorph_energy_ev_per_atom": 0.0280, "raw_formation_energy_ev_per_atom": 0.25}

Record 8
{"formula": "Zn2SiHg", "functional": "PBE", "state": "optimized geometry", "lattice_angstrom": [[4.0801, -0.0276, 0.0756], [2.9134, 2.8565, 0.0756], [1.7693, 0.7157, 6.7157]], "species": ["Hg", "Si", "Zn", "Zn"], "fractional_positions": [[0.7500, 0.7500, 0.7500], [0.2500, 0.2500, 0.2500], [0.0120, 0.0120, 0.0581], [0.4880, 0.4880, 0.4419]], "polymorph_energy_ev_per_atom": 0.0000, "raw_formation_energy_ev_per_atom": 0.23}

Record 9
{"formula": "Zn2SiHg", "functional": "PBE", "state": "optimized geometry", "lattice_angstrom": [[6.8517, -0.0030, 0.0057], [5.0208, 4.6624, -0.0057], [-5.6772, -2.9898, 2.4035]], "species": ["Hg", "Si", "Zn", "Zn"], "fractional_positions": [[0.4480, 0.4480, 0.0000], [0.2237, 0.7237, 0.5000], [0.0569, 0.0569, 0.0000], [0.7714, 0.2714, 0.5000]], "polymorph_energy_ev_per_atom": 0.0227, "raw_formation_energy_ev_per_atom": 0.25}

Record 10
{"formula": "Zn2SiHg", "functional": "PBE", "state": "optimized geometry", "lattice_angstrom": [[6.9390, -0.2321, -0.6981], [-2.8912, 4.1879, 0.3488], [1.1566, 0.8104, 2.4376]], "species": ["Hg", "Si", "Zn", "Zn"], "fractional_positions": [[0.0000, 0.5000, 0.5000], [0.5000, 0.5000, 0.0000], [0.0000, 0.0000, 0.0000], [0.5000, 0.0000, 0.5000]], "polymorph_energy_ev_per_atom": 0.0669, "raw_formation_energy_ev_per_atom": 0.29}

Record 11
{"formula": "ZnSi2Hg", "functional": "PBE", "state": "optimized geometry", "lattice_angstrom": [[-1.0296, -3.7076, -0.1505], [2.0529, -0.6434, 1.8065], [-2.8095, 0.4704, 7.6328]], "species": ["Hg", "Si", "Si", "Zn"], "fractional_positions": [[0.5000, 0.6731, 0.7094], [0.0000, 0.1383, 0.2308], [0.5000, 0.3170, 0.0544], [0.0000, 0.3716, 0.5055]], "polymorph_energy_ev_per_atom": 0.0168, "raw_formation_energy_ev_per_atom": 0.27}

Record 12
{"formula": "Zn2SiHg", "functional": "PBE", "state": "optimized geometry", "lattice_angstrom": [[-2.7164, -3.6935, 0.9513], [-3.6752, 0.4722, 2.8629], [-4.3500, -0.2119, -1.7200]], "species": ["Zn", "Zn", "Si", "Hg"], "fractional_positions": [[0.2500, 0.2500, 0.2500], [0.7500, 0.7500, 0.7500], [0.0000, 0.0000, 0.0000], [0.5000, 0.5000, 0.5000]], "polymorph_energy_ev_per_atom": 0.1443, "raw_formation_energy_ev_per_atom": 0.37}

Record 13
{"formula": "ZrSi2Hg2", "functional": "PBE", "state": "optimized geometry", "lattice_angstrom": [[-1.6398, 1.7827, 3.0978], [-3.5077, -1.4569, -1.0184], [-1.3937, -5.3208, 4.8201]], "species": ["Si", "Si", "Hg", "Hg", "Zr"], "fractional_positions": [[0.4144, 0.4144, 0.1712], [0.5856, 0.5856, 0.8288], [0.7500, 0.2500, 0.5000], [0.2500, 0.7500, 0.5000], [0.0000, 0.0000, 0.0000]], "polymorph_energy_ev_per_atom": 0.1311, "raw_formation_energy_ev_per_atom": 0.27}

Record 14
{"formula": "ZrSiHg2", "functional": "PBE", "state": "optimized geometry", "lattice_angstrom": [[6.0624, -0.0244, 0.0083], [3.5201, 4.9359, -0.0083], [-4.6614, -2.7090, 2.7724]], "species": ["Hg", "Hg", "Si", "Zr"], "fractional_positions": [[0.9660, 0.9660, 0.0000], [0.5340, 0.5340, 0.0000], [0.7500, 0.2500, 0.5000], [0.2500, 0.7500, 0.5000]], "polymorph_energy_ev_per_atom": 0.0000, "raw_formation_energy_ev_per_atom": -0.09}

Record 15
{"formula": "ZrSiHg2", "functional": "PBE", "state": "optimized geometry", "lattice_angstrom": [[-7.7910, 5.6964, 1.4019], [-9.1712, 3.3094, -0.2277], [-8.7780, 3.0671, 2.9418]], "species": ["Hg", "Hg", "Si", "Zr"], "fractional_positions": [[0.9969, 0.9969, 0.9969], [0.5031, 0.5031, 0.5031], [0.2500, 0.2500, 0.2500], [0.7500, 0.7500, 0.7500]], "polymorph_energy_ev_per_atom": 0.3394, "raw_formation_energy_ev_per_atom": 0.25}

Record 16
{"formula": "ZrSiHg2", "functional": "PBE", "state": "optimized geometry", "lattice_angstrom": [[3.6556, 0.0000, 0.0000], [0.0000, 3.6531, 0.0000], [0.0000, 0.0000, 6.6038]], "species": ["Hg", "Hg", "Si", "Zr"], "fractional_positions": [[0.0000, 0.0000, 0.9859], [0.5000, 0.5000, 0.2452], [0.0000, 0.0000, 0.5715], [0.5000, 0.5000, 0.6973]], "polymorph_energy_ev_per_atom": 0.0584, "raw_formation_energy_ev_per_atom": -0.03}

Record 17
{"formula": "ZrSiHg2", "functional": "PBE", "state": "optimized geometry", "lattice_angstrom": [[3.9063, 0.0000, 0.0000], [0.0000, 3.5540, -0.0127], [0.0000, 1.7834, 6.0895]], "species": ["Hg", "Hg", "Si", "Zr"], "fractional_positions": [[0.0000, 0.0557, 0.0063], [0.5000, 0.4407, 0.2367], [0.0000, 0.2803, 0.5703], [0.5000, 0.7233, 0.6868]], "polymorph_energy_ev_per_atom": 0.0298, "raw_formation_energy_ev_per_atom": -0.06}

Record 18
{"formula": "ZrSiHg2", "functional": "PBE", "state": "optimized geometry", "lattice_angstrom": [[-0.0565, 2.4378, 4.9421], [0.1317, -3.4665, 4.2822], [2.9328, 0.6105, -4.6256]], "species": ["Hg", "Hg", "Si", "Zr"], "fractional_positions": [[0.0000, 0.0000, 0.0000], [0.2500, 0.7500, 0.5000], [0.5000, 0.5000, 0.0000], [0.7500, 0.2500, 0.5000]], "polymorph_energy_ev_per_atom": 0.1913, "raw_formation_energy_ev_per_atom": 0.10}

Record 19
{"formula": "ZrSiHg2", "functional": "PBE", "state": "optimized geometry", "lattice_angstrom": [[-0.9326, 3.1619, -1.1032], [-2.3817, -1.4462, -2.0786], [-4.5853, 0.3868, 4.9850]], "species": ["Hg", "Hg", "Si", "Zr"], "fractional_positions": [[0.0000, 0.0000, 0.0217], [0.0000, 0.0000, 0.4783], [0.5000, 0.5000, 0.2500], [0.5000, 0.5000, 0.7500]], "polymorph_energy_ev_per_atom": 0.2602, "raw_formation_energy_ev_per_atom": 0.17}

Record 20
{"formula": "ZrSi3Hg", "functional": "PBE", "state": "optimized geometry", "lattice_angstrom": [[5.1452, 0.0000, 0.0000], [0.0000, 5.1452, 0.0000], [0.0000, 0.0000, 5.1452]], "species": ["Si", "Si", "Si", "Hg", "Zr"], "fractional_positions": [[0.0000, 0.5000, 0.0000], [0.0000, 0.0000, 0.5000], [0.5000, 0.0000, 0.0000], [0.5000, 0.5000, 0.5000], [0.0000, 0.0000, 0.0000]], "polymorph_energy_ev_per_atom": 0.0000, "raw_formation_energy_ev_per_atom": 0.77}

Computed Fermi-level density of states (states/eV/cell) in order:
1.3; 1.0; 1.0; 1.4; 3.3; 1.7; 1.3; 1.2; 1.6; 0.9; 0.8; 1.6; 2.8; 1.6; 4.0; 1.7; 2.2; 4.8; 2.0; 3.4